Compound: Ac2HfS5
Source: the Alexandria database
Functional: PBE-GGA
Structure: optimized geometry

Cell: 7.732 7.732 13.339 Å, 90.00 90.00 139.43°
Fractional positions:
Ac1 0.143 0.857 0.570
Ac2 0.143 0.857 0.930
Ac3 0.857 0.143 0.070
Ac4 0.857 0.143 0.430
Hf1 0.176 0.824 0.250
Hf2 0.824 0.176 0.750
S1 0.051 0.949 0.125
S2 0.051 0.949 0.375
S3 0.282 0.718 0.750
S4 0.288 0.712 0.097
S5 0.288 0.712 0.403
S6 0.712 0.288 0.597
S7 0.712 0.288 0.903
S8 0.718 0.282 0.250
S9 0.949 0.051 0.625
S10 0.949 0.051 0.875

energy above the most stable polymorph in this dataset: 0.139 eV per atom
electronic total energy: -6.69 eV per atom
formation energy from raw total energies: -42.44 kcal/mol of atoms

Compound: LiTb2PuTe4
Source: the Alexandria database
Functional: PBE-GGA
Structure: optimized geometry

Cell: 7.582 4.366 7.616 Å, 90.00 109.49 90.00°
Fractional positions:
Li1 0.000 0.000 0.000
Tb1 0.000 0.500 0.500
Tb2 0.500 0.000 0.500
Pu1 0.500 0.500 0.000
Te1 0.242 0.500 0.246
Te2 0.244 0.000 0.751
Te3 0.756 0.000 0.249
Te4 0.758 0.500 0.754

electronic total energy: -6.01 eV per atom
formation energy from raw total energies: -28.93 kcal/mol of atoms

Compound: Cs8H6Cl
Source: the Alexandria database
Functional: PBE-GGA
Structure: optimized geometry

Cell: 11.527 11.527 4.699 Å, 90.00 90.00 120.00°
Fractional positions:
Cs1 0.038 0.701 0.256
Cs2 0.299 0.337 0.256
Cs3 0.333 0.667 0.754
Cs4 0.337 0.038 0.744
Cs5 0.663 0.962 0.256
Cs6 0.667 0.333 0.246
Cs7 0.701 0.663 0.744
Cs8 0.962 0.299 0.744
H1 0.130 0.473 0.247
H2 0.344 0.870 0.247
H3 0.473 0.344 0.753
H4 0.527 0.656 0.247
H5 0.656 0.130 0.753
H6 0.870 0.527 0.753
Cl1 0.000 0.000 0.500

electronic total energy: -2.20 eV per atom

Compound: Th2SiTcC
Source: the Alexandria database
Functional: PBE-GGA
Structure: optimized geometry

Cell: 6.573 4.045 8.508 Å, 90.00 111.04 90.00°
Fractional positions:
Th1 0.205 0.250 0.394
Th2 0.227 0.250 0.974
Th3 0.773 0.750 0.026
Th4 0.795 0.750 0.606
Si1 0.296 0.750 0.707
Si2 0.704 0.250 0.293
Tc1 0.493 0.750 0.263
Tc2 0.507 0.250 0.737
C1 0.168 0.750 0.179
C2 0.832 0.250 0.821

electronic total energy: -8.36 eV per atom
formation energy from raw total energies: -9.09 kcal/mol of atoms

Listing N(E_F) for the structures above in their given order: 0.0 14.2 7.1 6.4 states/eV/cell.